# CoGeWO6

Crystalline CoGeWO6 at its relaxed geometry (GGA+U, the Alexandria database).

POSCAR file:
```
CoGeWO6
1.0
5.062 0.000 0.000
-2.531 4.383 0.000
0.000 0.000 9.077
Co Ge W O
2 2 2 12
direct
0.000 0.000 0.000
0.000 0.000 0.500
0.333 0.667 0.250
0.667 0.333 0.750
0.333 0.667 0.750
0.667 0.333 0.250
0.005 0.359 0.134
0.005 0.646 0.366
0.354 0.359 0.366
0.354 0.995 0.134
0.359 0.005 0.634
0.359 0.354 0.866
0.641 0.646 0.134
0.641 0.995 0.366
0.646 0.005 0.866
0.646 0.641 0.634
0.995 0.354 0.634
0.995 0.641 0.866
```

Calculated values
Crystal system: trigonal
Spin magnetization: 6.0 μB per cell
E: -6.773 eV/atom